1.
Entry from the Alexandria database: Li2CrW after structural relaxation (PBE).

## Properties
For the final energy, the calculation gives -72.09 eV for the cell shown. The calculation puts the energy of formation from the pure elements at 594 meV/atom. The magnetization is 1.404 μB per formula unit. The energy above the most stable polymorph in this dataset is 0.266 eV/atom. Its density of states at the Fermi level is 8.85 states/eV per cell. Its space-group type is R-3m.

Unit cell a=2.644 b=2.644 c=29.357 alpha=90.00 beta=90.00 gamma=120.00
Atoms (fractional coordinates):
Li1 0.000 0.000 0.247
Li2 0.000 0.000 0.753
Li3 0.333 0.667 0.419
Li4 0.333 0.667 0.914
Li5 0.667 0.333 0.086
Li6 0.667 0.333 0.581
Cr1 0.000 0.000 0.500
Cr2 0.333 0.667 0.167
Cr3 0.667 0.333 0.833
W1 0.000 0.000 0.000
W2 0.333 0.667 0.667
W3 0.667 0.333 0.333

2.
Entry from the Alexandria database: Pm2NiGe6 after structural relaxation (PBE).

## Properties
For the final energy, the calculation gives -46.80 eV for the cell shown. The calculation puts the energy of formation from the pure elements at -423 meV/atom. The magnetization is 0.000 μB per formula unit. The energy above the most stable polymorph in this dataset is 0.115 eV/atom. Its density of states at the Fermi level is 3.62 states/eV per cell. Its space-group type is C2/m.

Unit cell a=6.109 b=6.109 c=5.412 alpha=90.09 beta=90.09 gamma=60.06
Atoms (fractional coordinates):
Pm1 0.167 0.167 0.180
Pm2 0.833 0.833 0.820
Ni1 0.500 0.500 0.000
Ge1 0.147 0.677 0.307
Ge2 0.323 0.323 0.693
Ge3 0.323 0.853 0.693
Ge4 0.677 0.147 0.307
Ge5 0.677 0.677 0.307
Ge6 0.853 0.323 0.693

3.
Entry from the Alexandria database: TaTlAg3 after structural relaxation (PBE).

## Properties
For the final energy, the calculation gives -16.57 eV for the cell shown. The calculation puts the energy of formation from the pure elements at 1240 meV/atom. The magnetization is 0.000 μB per formula unit. The energy above the most stable polymorph in this dataset is 0.000 eV/atom. Its density of states at the Fermi level is 4.43 states/eV per cell. Its space-group type is Pm-3m.

Unit cell a=5.262 b=5.262 c=5.262 alpha=90.00 beta=90.00 gamma=90.00
Atoms (fractional coordinates):
Ta1 0.000 0.000 0.000
Tl1 0.500 0.500 0.500
Ag1 0.000 0.000 0.500
Ag2 0.000 0.500 0.000
Ag3 0.500 0.000 0.000

4.
Entry from the Alexandria database: Pm4Cd2InGa after structural relaxation (PBE).

## Properties
For the final energy, the calculation gives -30.05 eV for the cell shown. The calculation puts the energy of formation from the pure elements at -431 meV/atom. The magnetization is 0.001 μB per formula unit. Its density of states at the Fermi level is 9.72 states/eV per cell. Its space-group type is R-3m.

Unit cell a=9.302 b=9.302 c=9.302 alpha=33.59 beta=33.59 gamma=33.59
Atoms (fractional coordinates):
Pm1 0.121 0.121 0.121
Pm2 0.371 0.371 0.371
Pm3 0.629 0.629 0.629
Pm4 0.879 0.879 0.879
Cd1 0.247 0.247 0.247
Cd2 0.753 0.753 0.753
In1 0.500 0.500 0.500
Ga1 0.000 0.000 0.000

5.
Entry from the Alexandria database: CePrZnPb after structural relaxation (PBE).

## Properties
For the final energy, the calculation gives -67.86 eV for the cell shown. The calculation puts the energy of formation from the pure elements at -317 meV/atom. The magnetization is 1.102 μB per formula unit. Its density of states at the Fermi level is 38.93 states/eV per cell. Its space-group type is F-43m.

Unit cell a=7.666 b=7.666 c=7.666 alpha=90.00 beta=90.00 gamma=90.00
Atoms (fractional coordinates):
Ce1 0.000 0.000 0.000
Ce2 0.000 0.500 0.500
Ce3 0.500 0.000 0.500
Ce4 0.500 0.500 0.000
Pr1 0.000 0.000 0.500
Pr2 0.000 0.500 0.000
Pr3 0.500 0.000 0.000
Pr4 0.500 0.500 0.500
Zn1 0.250 0.250 0.250
Zn2 0.250 0.750 0.750
Zn3 0.750 0.250 0.750
Zn4 0.750 0.750 0.250
Pb1 0.250 0.250 0.750
Pb2 0.250 0.750 0.250
Pb3 0.750 0.250 0.250
Pb4 0.750 0.750 0.750

6.
Entry from the Alexandria database: NaLiNi2C after structural relaxation (PBE).

## Properties
For the final energy, the calculation gives -23.56 eV for the cell shown. The calculation puts the energy of formation from the pure elements at 93 meV/atom. The magnetization is 0.008 μB per formula unit. Its density of states at the Fermi level is 3.43 states/eV per cell. Its space-group type is P4/mmm.

Unit cell a=3.756 b=3.756 c=4.349 alpha=90.00 beta=90.00 gamma=90.00
Atoms (fractional coordinates):
Na1 0.000 0.000 0.000
Li1 0.500 0.500 0.000
Ni1 0.000 0.500 0.500
Ni2 0.500 0.000 0.500
C1 0.500 0.500 0.500

7.
Entry from the Alexandria database: ZrHRh2 after structural relaxation (PBE).

## Properties
For the final energy, the calculation gives -26.73 eV for the cell shown. The magnetization is 0.000 μB per formula unit. The energy above the most stable polymorph in this dataset is 0.353 eV/atom. Its density of states at the Fermi level is 4.09 states/eV per cell. Its space-group type is P6/mmm.

Unit cell a=4.194 b=4.194 c=3.836 alpha=90.00 beta=90.00 gamma=120.00
Atoms (fractional coordinates):
Zr1 0.000 0.000 0.000
H1 0.000 0.000 0.500
Rh1 0.333 0.667 0.500
Rh2 0.667 0.333 0.500

8.
Entry from the Alexandria database: KTa2GeO8 after structural relaxation (PBE).

## Properties
For the final energy, the calculation gives -94.83 eV for the cell shown. Its formation energy (no corrections) is -2.145 eV per atom. The magnetization is 0.986 μB per formula unit. Its density of states at the Fermi level is 5.04 states/eV per cell. Its space-group type is C2/m.

Unit cell a=5.294 b=5.294 c=7.147 alpha=101.94 beta=101.94 gamma=70.78
Atoms (fractional coordinates):
K1 0.000 0.000 0.000
Ta1 0.429 0.429 0.773
Ta2 0.571 0.571 0.227
Ge1 0.000 0.000 0.500
O1 0.205 0.753 0.680
O2 0.217 0.217 0.606
O3 0.247 0.795 0.320
O4 0.358 0.358 0.007
O5 0.642 0.642 0.993
O6 0.753 0.205 0.680
O7 0.783 0.783 0.394
O8 0.795 0.247 0.320

9.
Entry from the Alexandria database: YCrP2Cl after structural relaxation (PBE).

## Properties
For the final energy, the calculation gives -30.60 eV for the cell shown. Its formation energy (no corrections) is -0.370 eV per atom. The magnetization is 0.003 μB per formula unit. The energy above the most stable polymorph in this dataset is 0.000 eV/atom. Its density of states at the Fermi level is 4.22 states/eV per cell. Its space-group type is P4/mmm.

Unit cell a=4.434 b=4.434 c=4.852 alpha=90.00 beta=90.00 gamma=90.00
Atoms (fractional coordinates):
Y1 0.000 0.000 0.000
Cr1 0.500 0.500 0.500
P1 0.000 0.500 0.500
P2 0.500 0.000 0.500
Cl1 0.500 0.500 0.000

10.
Entry from the Alexandria database: NpScOs2 after structural relaxation (PBE).

## Properties
For the final energy, the calculation gives -42.35 eV for the cell shown. The calculation puts the energy of formation from the pure elements at -156 meV/atom. The magnetization is 2.610 μB per formula unit. Its density of states at the Fermi level is 4.76 states/eV per cell. Its space-group type is P4/mmm.

Unit cell a=4.693 b=4.693 c=3.253 alpha=90.00 beta=90.00 gamma=90.00
Atoms (fractional coordinates):
Np1 0.000 0.000 0.000
Sc1 0.500 0.500 0.000
Os1 0.000 0.500 0.500
Os2 0.500 0.000 0.500

11.
Entry from the Alexandria database: Ti2Zn4Au after structural relaxation (PBE).

## Properties
For the final energy, the calculation gives -41.73 eV for the cell shown. The calculation puts the energy of formation from the pure elements at 471 meV/atom. The magnetization is 1.476 μB per formula unit. The energy above the most stable polymorph in this dataset is 0.616 eV/atom. Its density of states at the Fermi level is 9.90 states/eV per cell. Its space-group type is I4/mmm.

Unit cell a=4.885 b=4.885 c=12.943 alpha=90.00 beta=90.00 gamma=90.00
Atoms (fractional coordinates):
Ti1 0.000 0.000 0.095
Ti2 0.000 0.000 0.905
Ti3 0.500 0.500 0.405
Ti4 0.500 0.500 0.595
Zn1 0.000 0.000 0.301
Zn2 0.000 0.000 0.699
Zn3 0.000 0.500 0.000
Zn4 0.000 0.500 0.500
Zn5 0.500 0.000 0.000
Zn6 0.500 0.000 0.500
Zn7 0.500 0.500 0.199
Zn8 0.500 0.500 0.801
Au1 0.000 0.000 0.500
Au2 0.500 0.500 0.000

12.
Entry from the Alexandria database: Pr4GaHgAu2 after structural relaxation (PBE).

## Properties
For the final energy, the calculation gives -33.78 eV for the cell shown. The calculation puts the energy of formation from the pure elements at -598 meV/atom. The magnetization is 0.867 μB per formula unit. Its density of states at the Fermi level is 8.59 states/eV per cell. Its space-group type is R-3m.

Unit cell a=9.280 b=9.280 c=9.280 alpha=33.40 beta=33.40 gamma=33.40
Atoms (fractional coordinates):
Pr1 0.121 0.121 0.121
Pr2 0.372 0.372 0.372
Pr3 0.628 0.628 0.628
Pr4 0.879 0.879 0.879
Ga1 0.000 0.000 0.000
Hg1 0.500 0.500 0.500
Au1 0.246 0.246 0.246
Au2 0.754 0.754 0.754

Q: Which density values were calculated for the entries above? A: 7.00 7.44 8.08 7.49 8.16 4.31 8.47 5.46 4.15 15.36 5.96 9.45, in Mg/m³.